# ScTiPt2Cl

Crystalline ScTiPt2Cl at its relaxed geometry (GGA-PBE, Alexandria via LeMat-Bulk).

Lattice parameters (Å, degrees): 4.617 4.617 5.593 90.00 90.00 90.00
Atoms (fractional coordinates):
Sc (0.000, 0.000, 0.000)
Ti (0.000, 0.000, 0.500)
Pt (0.000, 0.500, 0.500)
Pt (0.500, 0.000, 0.500)
Cl (0.500, 0.500, 0.000)

Summary:
Total magnetic moment (μB/f.u.): 0.0
Theoretical density (Mg/m³): 7.22
E_form (uncorrected) (eV per atom): 0.30


# PtSeCl

Crystalline PtSeCl at its relaxed geometry (GGA-PBE, Alexandria via LeMat-Bulk).

Lattice parameters (Å, degrees): 11.687 3.550 3.550 90.00 107.60 90.00
Atoms (fractional coordinates):
Pt (0.000, 0.000, 0.000)
Pt (0.500, 0.500, 0.000)
Se (0.452, 0.000, 0.453)
Se (0.952, 0.500, 0.453)
Cl (0.215, 0.000, 0.216)
Cl (0.715, 0.500, 0.216)

Summary:
Total magnetic moment (μB/f.u.): 0.0
Theoretical density (Mg/m³): 7.32
E_form (uncorrected) (eV per atom): -0.01


# PtSeCl2

Crystalline PtSeCl2 at its relaxed geometry (GGA-PBE, Alexandria via LeMat-Bulk).

Lattice parameters (Å, degrees): 3.660 3.660 23.678 90.00 90.00 120.00
Atoms (fractional coordinates):
Pt (0.000, 0.000, 0.000)
Pt (0.333, 0.667, 0.667)
Pt (0.667, 0.333, 0.333)
Se (0.000, 0.000, 0.276)
Se (0.333, 0.667, 0.942)
Se (0.667, 0.333, 0.609)
Cl (0.000, 0.000, 0.532)
Cl (0.000, 0.000, 0.728)
Cl (0.333, 0.667, 0.199)
Cl (0.333, 0.667, 0.395)
Cl (0.667, 0.333, 0.061)
Cl (0.667, 0.333, 0.865)

Summary:
Total magnetic moment (μB/f.u.): 0.0
Theoretical density (Mg/m³): 6.26
Energy above the lowest structure with this stoichiometry (meV per atom): 44
E_form (uncorrected) (eV per atom): -0.33


# PtSeCl2

Crystalline PtSeCl2 at its relaxed geometry (GGA-PBE, Alexandria via LeMat-Bulk).

Lattice parameters (Å, degrees): 4.997 4.997 3.007 90.00 90.00 90.00
Atoms (fractional coordinates):
Pt (0.000, 0.000, 0.000)
Se (0.500, 0.500, 0.000)
Cl (0.000, 0.500, 0.500)
Cl (0.500, 0.000, 0.500)

Summary:
Total magnetic moment (μB/f.u.): 0.0
Theoretical density (Mg/m³): 7.63
Energy above the lowest structure with this stoichiometry (meV per atom): 1233
E_form (uncorrected) (eV per atom): 0.86


# PtSeCl2

Crystalline PtSeCl2 at its relaxed geometry (GGA-PBE, Alexandria via LeMat-Bulk).

Lattice parameters (Å, degrees): 7.808 3.553 8.027 90.00 102.73 90.00
Atoms (fractional coordinates):
Pt (0.000, 0.000, 0.000)
Pt (0.500, 0.500, 0.000)
Se (0.149, 0.500, 0.174)
Se (0.649, 0.000, 0.174)
Cl (0.032, 0.500, 0.407)
Cl (0.373, 0.000, 0.809)
Cl (0.532, 0.000, 0.407)
Cl (0.873, 0.500, 0.809)

Summary:
Total magnetic moment (μB/f.u.): 0.0
Theoretical density (Mg/m³): 5.27
Energy above the lowest structure with this stoichiometry (meV per atom): 0
E_form (uncorrected) (eV per atom): -0.37


# PtSeCl3

Crystalline PtSeCl3 at its relaxed geometry (GGA-PBE, Alexandria via LeMat-Bulk).

Lattice parameters (Å, degrees): 4.922 4.922 4.922 90.00 90.00 90.00
Atoms (fractional coordinates):
Pt (0.000, 0.000, 0.000)
Se (0.500, 0.500, 0.500)
Cl (0.000, 0.000, 0.500)
Cl (0.000, 0.500, 0.000)
Cl (0.500, 0.000, 0.000)

Summary:
Total magnetic moment (μB/f.u.): 2.8
Theoretical density (Mg/m³): 5.30
Energy above the lowest structure with this stoichiometry (meV per atom): 565
E_form (uncorrected) (eV per atom): 0.25


# PtSeCl3

Crystalline PtSeCl3 at its relaxed geometry (GGA-PBE, Alexandria via LeMat-Bulk).

Lattice parameters (Å, degrees): 6.946 8.273 12.251 90.00 90.23 90.00
Atoms (fractional coordinates):
Pt (0.062, 0.135, 0.113)
Pt (0.062, 0.865, 0.613)
Pt (0.938, 0.135, 0.387)
Pt (0.938, 0.865, 0.887)
Se (0.034, 0.420, 0.339)
Se (0.034, 0.580, 0.839)
Se (0.966, 0.420, 0.161)
Se (0.966, 0.580, 0.661)
Cl (0.108, 0.167, 0.550)
Cl (0.108, 0.833, 0.050)
Cl (0.220, 0.067, 0.280)
Cl (0.220, 0.933, 0.780)
Cl (0.340, 0.212, 0.028)
Cl (0.340, 0.788, 0.528)
Cl (0.660, 0.212, 0.472)
Cl (0.660, 0.788, 0.972)
Cl (0.780, 0.067, 0.220)
Cl (0.780, 0.933, 0.720)
Cl (0.892, 0.167, 0.950)
Cl (0.892, 0.833, 0.450)

Summary:
Total magnetic moment (μB/f.u.): 0.0
Theoretical density (Mg/m³): 3.59
Energy above the lowest structure with this stoichiometry (meV per atom): 3
E_form (uncorrected) (eV per atom): -0.31


# PtSeCl2

Crystalline PtSeCl2 at its relaxed geometry (GGA-PBE, Alexandria via LeMat-Bulk).

Lattice parameters (Å, degrees): 6.720 6.720 6.720 90.00 90.00 90.00
Atoms (fractional coordinates):
Pt (0.000, 0.000, 0.000)
Pt (0.000, 0.500, 0.500)
Pt (0.500, 0.000, 0.500)
Pt (0.500, 0.500, 0.000)
Se (0.000, 0.000, 0.500)
Se (0.000, 0.500, 0.000)
Se (0.500, 0.000, 0.000)
Se (0.500, 0.500, 0.500)
Cl (0.250, 0.250, 0.250)
Cl (0.250, 0.250, 0.750)
Cl (0.250, 0.750, 0.250)
Cl (0.250, 0.750, 0.750)
Cl (0.750, 0.250, 0.250)
Cl (0.750, 0.250, 0.750)
Cl (0.750, 0.750, 0.250)
Cl (0.750, 0.750, 0.750)

Summary:
Total magnetic moment (μB/f.u.): 0.1
Theoretical density (Mg/m³): 7.55
Energy above the lowest structure with this stoichiometry (meV per atom): 1254
E_form (uncorrected) (eV per atom): 0.88